(1)
VASP calculation (PBE) on a geometry-optimized K2LiTcF6 structure.

Cell: 5.6631 5.6631 5.6631 Å, 59.64 59.64 59.64°
Fractional coordinates of all 10 atoms:
K 0.2499 0.2499 0.2499
K 0.7501 0.7501 0.7501
Li 0.0000 0.0000 0.0000
Tc 0.5000 0.5000 0.5000
F 0.2459 0.7522 0.2478
F 0.2478 0.2459 0.7522
F 0.2478 0.7522 0.7541
F 0.7522 0.2478 0.2459
F 0.7522 0.7541 0.2478
F 0.7541 0.2478 0.7522

Calculated values
As for the space group: R-3.



(2)
VASP calculation (PBE) on a geometry-optimized K2LiTcF6 structure.

Cell: 5.6263 5.6263 5.5571 Å, 119.41 119.41 60.89°
Fractional coordinates of all 10 atoms:
K 0.2480 0.2480 0.2482
K 0.7520 0.7520 0.7518
Li 0.5000 0.5000 0.0000
Tc 0.0000 0.0000 0.5000
F 0.2543 0.7444 0.2490
F 0.2551 0.2551 0.7555
F 0.2556 0.7457 0.7510
F 0.7444 0.2543 0.2490
F 0.7449 0.7449 0.2445
F 0.7457 0.2556 0.7510

Calculated values
As for the space group: C2/m.



(3)
VASP calculation (PBE) on a geometry-optimized K2LiTcF6 structure.

Cell: 5.6231 5.6231 5.6231 Å, 119.72 119.72 90.49°
Fractional coordinates of all 10 atoms:
K 0.2500 0.7500 0.5000
K 0.7500 0.2500 0.5000
Li 0.0000 0.0000 0.0000
Tc 0.5000 0.5000 0.0000
F 0.2460 0.2460 0.4920
F 0.2460 0.7540 0.0000
F 0.2474 0.2474 0.0000
F 0.7526 0.7526 0.0000
F 0.7540 0.2460 0.0000
F 0.7540 0.7540 0.5080

Calculated values
As for the space group: I4/mmm.



M_tot across the listed records, respectively: 2.0, 2.0, 2.0 μB per formula unit.
Uncorrected energy across the listed records, respectively: -0.1852, -0.1852, -0.1850 hartree per atom.
Offset from the most stable computed form across the listed records, respectively: 0.0000, 0.0011, 0.0047 eV per atom.